(1)
A geometry-optimized AgAu2Cl4 structure, computed with PBE.

Cell: 7.649 7.649 7.574 Å, 90.00 90.00 90.00°
Space group I4/m (No. 87)
Asymmetric unit:
Ag: 0.000 0.000 0.000 [2 per cell]
Au: 0.000 0.500 0.250 [4 per cell]
Cl: 0.120 0.310 0.000 [8 per cell]

Calculated values
Total energy ... -2.501 eV/atom
ΔE_f (raw) ... -0.102 eV/atom
Mass density ... 4.82 g cm⁻³


(2)
A geometry-optimized KTlBi structure, computed with PBE.

Cell: 3.917 3.917 13.956 Å, 90.00 90.00 90.00°
Space group I4mm (No. 107)
Asymmetric unit:
K: 0.000 0.000 0.000 [2 per cell]
Tl: 0.000 0.000 0.686 [2 per cell]
Bi: 0.000 0.000 0.318 [2 per cell]

Calculated values
Total energy ... -2.659 eV/atom
Mass density ... 7.02 g cm⁻³
Energy of formation from the pure elements ... -20.3 kJ/mol of atoms


(3)
A geometry-optimized ReNi2Os structure, computed with PBE.

Cell: 8.645 2.665 4.593 Å, 90.00 100.29 90.00°
Space group C2/m (No. 12)
Asymmetric unit:
Re: 0.000 0.000 0.000 [2 per cell]
Ni: 0.249 0.000 0.754 [4 per cell]
Os: 0.000 0.500 0.500 [2 per cell]

Calculated values
Total energy ... -8.688 eV/atom
Mass density ... 15.75 g cm⁻³
Relative energy among the computed polymorphs ... 113 meV per atom
Energy of formation from the pure elements ... 11.8 kJ/mol of atoms


(4)
A geometry-optimized BaMgCd2Au structure, computed with PBE.

Cell: 4.554 4.689 13.000 Å, 90.00 90.00 90.00°
Space group Imm2 (No. 44)
Asymmetric unit:
Ba: 0.000 0.000 0.000 [2 per cell]
Mg: 0.000 0.500 0.765 [2 per cell]
Cd: 0.000 0.000 0.618 [2 per cell]
Cd: 0.000 0.500 0.261 [2 per cell]
Au: 0.000 0.000 0.395 [2 per cell]

Calculated values
Total energy ... -2.136 eV/atom
Mass density ... 6.98 g cm⁻³
Relative energy among the computed polymorphs ... 0 meV per atom
Energy of formation from the pure elements ... -39.7 kJ/mol of atoms


(5)
A geometry-optimized YMnB3 structure, computed with PBE.

Cell: 3.872 3.872 3.872 Å, 90.00 90.00 90.00°
Space group Pm-3m (No. 221)
Asymmetric unit:
Y: 0.000 0.000 0.000 [1 per cell]
Mn: 0.500 0.500 0.500 [1 per cell]
B: 0.000 0.500 0.500 [3 per cell]

Calculated values
Total energy ... -7.216 eV/atom
Mass density ... 5.04 g cm⁻³
Relative energy among the computed polymorphs ... 0 meV per atom
Energy of formation from the pure elements ... -8.0 kJ/mol of atoms


(6)
A geometry-optimized ScCdGeAu structure, computed with PBE.

Cell: 6.795 6.795 6.795 Å, 90.00 90.00 90.00°
Space group F-43m (No. 216)
Asymmetric unit:
Sc: 0.000 0.000 0.000 [4 per cell]
Cd: 0.000 0.000 0.500 [4 per cell]
Ge: 0.250 0.250 0.250 [4 per cell]
Au: 0.250 0.250 0.750 [4 per cell]

Calculated values
Total energy ... -4.183 eV/atom
Mass density ... 9.04 g cm⁻³
Energy of formation from the pure elements ... -38.3 kJ/mol of atoms


(7)
A geometry-optimized KTaRe4 structure, computed with PBE.

Cell: 7.534 7.534 7.534 Å, 90.00 90.00 90.00°
Space group F-43m (No. 216)
Asymmetric unit:
K: 0.000 0.000 0.000 [4 per cell]
Ta: 0.250 0.250 0.250 [4 per cell]
Re: 0.125 0.125 0.625 [16 per cell]

Calculated values
Total energy ... -9.696 eV/atom
Mass density ... 14.99 g cm⁻³
Energy of formation from the pure elements ... 73.5 kJ/mol of atoms


(8)
A geometry-optimized CrGa3Te structure, computed with PBE.

Cell: 4.960 4.960 4.960 Å, 90.00 90.00 90.00°
Space group Pm-3m (No. 221)
Asymmetric unit:
Cr: 0.000 0.000 0.000 [1 per cell]
Ga: 0.000 0.000 0.500 [3 per cell]
Te: 0.500 0.500 0.500 [1 per cell]

Calculated values
Total energy ... -4.031 eV/atom
ΔE_f (raw) ... 0.338 eV/atom
Mass density ... 5.29 g cm⁻³
Relative energy among the computed polymorphs ... 0 meV per atom